No. 1
Here is a relaxed ReTc2P crystal from Alexandria via LeMat-Bulk. Energies are from GGA-PBE.

The structure in POSCAR format:
```
ReTc2P
1.0
1.482 -2.349 0.000
1.482 2.349 0.000
0.000 0.000 8.240
Re Tc P
1 2 1
Direct
0.000 0.000 0.000
0.000 0.000 0.547
0.500 0.500 0.272
0.500 0.500 0.770
```

Results
calculated total energy	-37.36	eV per cell
M_tot	0.00	Bohr magnetons per cell
density of states at the Fermi level	4.3	states/eV/cell

***

No. 2
Here is a relaxed CeYAlTc crystal from Alexandria via LeMat-Bulk. Energies are from GGA-PBE.

The structure in POSCAR format:
```
CeYAlTc
1.0
0.000 3.538 3.538
3.538 0.000 3.538
3.538 3.538 0.000
Ce Y Al Tc
1 1 1 1
Direct
0.000 0.000 0.000
0.500 0.500 0.500
0.250 0.250 0.250
0.750 0.750 0.750
```

Results
calculated total energy	-27.04	eV per cell
M_tot	0.00	Bohr magnetons per cell
density of states at the Fermi level	2.9	states/eV/cell

***

No. 3
Here is a relaxed MgMo2Br crystal from Alexandria via LeMat-Bulk. Energies are from GGA-PBE.

The structure in POSCAR format:
```
MgMo2Br
1.0
1.492 0.861 9.129
-1.492 0.861 9.129
0.000 -1.722 9.129
Mg Mo Br
1 2 1
Direct
0.000 0.000 0.000
0.245 0.245 0.245
0.755 0.755 0.755
0.500 0.500 0.500
```

Results
calculated total energy	-22.17	eV per cell
formation energy without anion corrections	0.69	eV/atom
M_tot	0.00	Bohr magnetons per cell
density of states at the Fermi level	4.0	states/eV/cell

***

No. 4
Here is a relaxed ErNpMn17 crystal from Alexandria via LeMat-Bulk. Energies are from GGA-PBE.

The structure in POSCAR format:
```
ErNpMn17
1.0
4.288 2.476 3.855
-4.288 2.476 3.855
0.000 -4.951 3.855
Er Np Mn
1 1 17
Direct
0.000 0.000 0.000
0.712 0.712 0.712
0.078 0.352 0.625
0.078 0.625 0.352
0.244 0.711 0.711
0.253 0.253 0.253
0.349 0.349 0.854
0.349 0.854 0.349
0.352 0.078 0.625
0.352 0.625 0.078
0.454 0.454 0.454
0.487 0.987 0.987
0.625 0.078 0.352
0.625 0.352 0.078
0.711 0.244 0.711
0.711 0.711 0.244
0.854 0.349 0.349
0.987 0.487 0.987
0.987 0.987 0.487
```

Results
calculated total energy	-172.58	eV per cell
M_tot	1.79	Bohr magnetons per cell
density of states at the Fermi level	26.1	states/eV/cell

***

No. 5
Here is a relaxed K8Hg3 crystal from Alexandria via LeMat-Bulk. Energies are from GGA-PBE.

The structure in POSCAR format:
```
K8Hg3
1.0
5.921 3.418 5.071
-5.921 3.418 5.071
0.000 -6.837 5.071
K Hg
8 3
Direct
0.140 0.140 0.140
0.169 0.340 0.646
0.340 0.646 0.169
0.354 0.831 0.660
0.646 0.169 0.340
0.660 0.354 0.831
0.831 0.660 0.354
0.860 0.860 0.860
0.000 0.000 0.500
0.000 0.500 0.000
0.500 0.000 0.000
```

Results
calculated total energy	-10.89	eV per cell
M_tot	0.00	Bohr magnetons per cell
density of states at the Fermi level	6.5	states/eV/cell

***

No. 6
Here is a relaxed Co2SiNi crystal from Alexandria via LeMat-Bulk. Energies are from GGA-PBE.

The structure in POSCAR format:
```
Co2SiNi
1.0
2.577 0.000 0.000
0.000 3.293 0.000
0.000 0.000 5.057
Co Si Ni
2 1 1
Direct
0.000 0.000 0.243
0.000 0.000 0.757
0.500 0.500 0.000
0.500 0.500 0.500
```

Results
calculated total energy	-26.28	eV per cell
formation energy without anion corrections	-0.21	eV/atom
M_tot	1.70	Bohr magnetons per cell
density of states at the Fermi level	4.5	states/eV/cell

***

No. 7
Here is a relaxed MnAl2FeW crystal from Alexandria via LeMat-Bulk. Energies are from GGA-PBE.

The structure in POSCAR format:
```
MnAl2FeW
1.0
4.318 0.000 0.000
0.000 4.318 0.000
0.000 0.000 4.217
Mn Al Fe W
1 2 1 1
Direct
0.000 0.000 0.000
0.000 0.500 0.500
0.500 0.000 0.500
0.000 0.000 0.500
0.500 0.500 0.000
```

Results
calculated total energy	-33.52	eV per cell
M_tot	1.42	Bohr magnetons per cell
density of states at the Fermi level	5.1	states/eV/cell

***

No. 8
Here is a relaxed AgHF2 crystal from Alexandria via LeMat-Bulk. Energies are from GGA-PBE.

The structure in POSCAR format:
```
AgHF2
1.0
3.835 0.000 0.000
-1.918 3.322 0.000
0.000 0.000 9.346
Ag H F
2 2 4
Direct
0.000 0.000 0.000
0.000 0.000 0.500
0.333 0.667 0.250
0.667 0.333 0.750
0.333 0.667 0.127
0.333 0.667 0.373
0.667 0.333 0.627
0.667 0.333 0.873
```

Results
calculated total energy	-30.50	eV per cell
M_tot	0.00	Bohr magnetons per cell
density of states at the Fermi level	0.0	states/eV/cell